Entry 1:
DFT (PBEsol) results for a relaxed structure of RbNa2H.

Values from the calculation:
Relative energy among the computed polymorphs in meV/atom: 0
DFT total energy in eV per atom: -1.70
Crystal system: cubic

Cell lengths 7.500, 7.500, 7.500 Å; angles 60.00, 60.00, 60.00 degrees
Positions (direct):
1 Rb 0.125 0.125 0.125
2 Rb 0.875 0.875 0.875
3 Na 0.000 0.500 0.500
4 Na 0.500 0.000 0.500
5 Na 0.500 0.500 0.000
6 Na 0.500 0.500 0.500
7 H 0.375 0.375 0.375
8 H 0.625 0.625 0.625



Entry 2:
DFT (PBEsol) results for a relaxed structure of RbNaH2.

Values from the calculation:
DFT total energy in eV per atom: -2.38
Crystal system: tetragonal

Cell lengths 6.026, 6.026, 6.026 Å; angles 114.64, 114.64, 99.56 degrees
Positions (direct):
1 Rb 0.000 0.000 0.000
2 Rb 0.750 0.250 0.500
3 Na 0.250 0.750 0.500
4 Na 0.500 0.500 0.000
5 H 0.195 0.125 0.570
6 H 0.375 0.805 0.930
7 H 0.555 0.625 0.430
8 H 0.875 0.445 0.070



Entry 3:
DFT (PBEsol) results for a relaxed structure of RbNa3H4.

Values from the calculation:
DFT total energy in eV per atom: -2.39
Crystal system: cubic

Cell lengths 5.177, 5.177, 5.177 Å; angles 90.00, 90.00, 90.00 degrees
Positions (direct):
1 Rb 0.000 0.000 0.000
2 Na 0.000 0.500 0.500
3 Na 0.500 0.000 0.500
4 Na 0.500 0.500 0.000
5 H 0.000 0.000 0.500
6 H 0.000 0.500 0.000
7 H 0.500 0.000 0.000
8 H 0.500 0.500 0.500



Entry 4:
DFT (PBEsol) results for a relaxed structure of Rb3NaH4.

Values from the calculation:
DFT total energy in eV per atom: -2.32
Crystal system: cubic

Cell lengths 5.695, 5.695, 5.695 Å; angles 90.00, 90.00, 90.00 degrees
Positions (direct):
1 Rb 0.000 0.000 0.500
2 Rb 0.000 0.500 0.000
3 Rb 0.500 0.000 0.000
4 Na 0.500 0.500 0.500
5 H 0.000 0.000 0.000
6 H 0.000 0.500 0.500
7 H 0.500 0.000 0.500
8 H 0.500 0.500 0.000



Entry 5:
DFT (PBEsol) results for a relaxed structure of Rb3NaH.

Values from the calculation:
DFT total energy in eV per atom: -1.55
Crystal system: cubic

Cell lengths 6.163, 6.163, 6.163 Å; angles 90.00, 90.00, 90.00 degrees
Positions (direct):
1 Rb 0.000 0.000 0.500
2 Rb 0.000 0.500 0.000
3 Rb 0.500 0.000 0.000
4 Na 0.500 0.500 0.500
5 H 0.000 0.000 0.000



Entry 6:
DFT (PBEsol) results for a relaxed structure of RbNaRe2H.

Values from the calculation:
DFT total energy in eV per atom: -5.34
Crystal system: tetragonal

Cell lengths 3.803, 3.803, 5.718 Å; angles 90.00, 90.00, 90.00 degrees
Positions (direct):
1 Rb 0.000 0.000 0.000
2 Na 0.500 0.500 0.000
3 Re 0.000 0.500 0.500
4 Re 0.500 0.000 0.500
5 H 0.000 0.000 0.500